(i)
VASP calculation (GGA-PBEsol) on LiBe2 after structural relaxation.

Geometry as POSCAR:
```
LiBe2
1.0
3.690 0.029 0.000
-1.333 3.441 0.000
-1.179 -1.735 3.036
Be Li
2 1
Direct
0.250 0.750 0.500
0.750 0.250 0.500
0.000 0.000 0.000
```

---

(ii)
VASP calculation (GGA-PBEsol) on LiBe2 after structural relaxation.

Geometry as POSCAR:
```
LiBe2
1.0
2.650 0.000 0.000
0.000 2.650 0.000
-1.325 -1.325 4.198
Be Li
2 1
Direct
0.309 0.309 0.618
0.691 0.691 0.382
0.000 0.000 0.000
```

---

It is (i) that is the least stable of them.

---

(i)
VASP calculation (GGA-PBEsol) on Li2Be after structural relaxation.

Geometry as POSCAR:
```
Li2Be
1.0
4.328 0.000 0.000
-2.164 3.748 0.000
0.000 0.000 4.956
Be Li
2 4
Direct
0.667 0.333 0.750
0.333 0.667 0.250
0.000 0.000 0.000
0.000 0.000 0.500
0.667 0.333 0.250
0.333 0.667 0.750
```

---

(ii)
VASP calculation (GGA-PBEsol) on Li2Be after structural relaxation.

Geometry as POSCAR:
```
Li2Be
1.0
4.070 0.000 0.000
0.000 4.362 0.000
0.000 2.181 4.499
Be Li
2 4
Direct
0.250 0.548 0.904
0.750 0.452 0.096
0.250 0.919 0.162
0.750 0.081 0.838
0.250 0.260 0.481
0.750 0.740 0.519
```

---

It is (i) that is the least stable of them.

---

(i)
VASP calculation (GGA-PBEsol) on LiBe2Mo after structural relaxation.

Geometry as POSCAR:
```
LiBe2Mo
1.0
-0.060 1.698 1.665
-4.378 -0.536 0.390
2.024 -3.680 2.127
Be Mo Li
2 1 1
Direct
0.025 0.956 0.050
0.724 0.290 0.447
0.273 0.818 0.547
0.478 0.437 0.957
```

---

(ii)
VASP calculation (GGA-PBEsol) on LiBe2Mo after structural relaxation.

Geometry as POSCAR:
```
LiBe2Mo
1.0
-0.390 0.133 2.373
2.967 -3.058 0.659
1.788 4.519 -1.182
Be Mo Li
2 1 1
Direct
0.023 0.023 0.046
0.734 0.234 0.468
0.267 0.767 0.533
0.476 0.476 0.952
```

---

It is (ii) that is the least stable of them.